1.
VASP calculation (GGA-PBE) on an optimized crystal structure of AcPr7Er2.

Energy of formation from the pure elements   577 kJ/mol of formula units
Mass density   5.91 g/cm3
Total magnetization   0.00 μB per formula unit
Offset from the most stable computed form   4.30 eV/f.u.

a b c (Å): 9.263 9.263 5.924
angles (deg): 90.00 90.00 121.13
Fractional positions:
Ac (0.000, 0.000, 0.000)
Pr (0.062, 0.301, 0.500)
Pr (0.240, 0.760, 0.000)
Pr (0.301, 0.062, 0.500)
Pr (0.500, 0.500, 0.500)
Pr (0.699, 0.938, 0.500)
Pr (0.760, 0.240, 0.000)
Pr (0.938, 0.699, 0.500)
Er (0.297, 0.703, 0.500)
Er (0.703, 0.297, 0.500)

2.
VASP calculation (GGA-PBE) on an optimized crystal structure of LiSc5Zn6.

Energy of formation from the pure elements   -380 kJ/mol of formula units
Mass density   4.72 g/cm3
Total magnetization   0.00 μB per formula unit

a b c (Å): 8.129 8.129 4.702
angles (deg): 106.79 106.79 120.07
Fractional positions:
Li (0.000, 0.000, 0.000)
Sc (0.169, 0.831, 0.500)
Sc (0.334, 0.666, 0.000)
Sc (0.500, 0.500, 0.500)
Sc (0.666, 0.334, 0.000)
Sc (0.831, 0.169, 0.500)
Zn (0.077, 0.399, 0.237)
Zn (0.238, 0.238, 0.739)
Zn (0.399, 0.077, 0.237)
Zn (0.601, 0.923, 0.763)
Zn (0.762, 0.762, 0.261)
Zn (0.923, 0.601, 0.763)

3.
VASP calculation (GGA-PBE) on an optimized crystal structure of Hf3NbAl8.

Energy of formation from the pure elements   -470 kJ/mol of formula units
Mass density   6.88 g/cm3
Total magnetization   0.00 μB per formula unit

a b c (Å): 9.077 9.077 9.077
angles (deg): 33.57 33.57 33.57
Fractional positions:
Hf (0.000, 0.000, 0.000)
Hf (0.127, 0.127, 0.127)
Hf (0.502, 0.502, 0.502)
Nb (0.627, 0.627, 0.627)
Al (0.064, 0.064, 0.565)
Al (0.064, 0.563, 0.563)
Al (0.064, 0.565, 0.064)
Al (0.314, 0.314, 0.314)
Al (0.563, 0.064, 0.563)
Al (0.563, 0.563, 0.064)
Al (0.565, 0.064, 0.064)
Al (0.814, 0.814, 0.814)

4.
VASP calculation (GGA-PBE) on an optimized crystal structure of Zn5Pd6.

Energy of formation from the pure elements   -514 kJ/mol of formula units
Mass density   9.66 g/cm3
Total magnetization   0.00 μB per formula unit

a b c (Å): 7.334 7.334 7.334
angles (deg): 146.46 129.72 61.80
Fractional positions:
Zn (0.000, 0.000, 0.000)
Zn (0.165, 0.665, 0.500)
Zn (0.331, 0.331, 0.000)
Zn (0.669, 0.669, 0.000)
Zn (0.835, 0.335, 0.500)
Pd (0.093, 0.837, 0.256)
Pd (0.260, 0.500, 0.760)
Pd (0.419, 0.163, 0.256)
Pd (0.581, 0.837, 0.744)
Pd (0.740, 0.500, 0.240)
Pd (0.907, 0.163, 0.744)

Which value of mass density does entry 1 give?
5.91 g/cm3